Entry from the Alexandria database: crystalline CrFeSb at its relaxed geometry (PBEsol).

Calculated values
N(E_F)	2.201	states/eV per cell
magnetization	0.00	μB per formula unit
raw formation energy	1.7	eV/f.u.

Cell lengths 3.0982, 3.0982, 5.5377 Å; angles 90.00, 90.00, 120.00 degrees
Last column: nearest neighbours and their distance in Å.
Space group P3m1 (No. 156)
Symmetry-distinct sites (fractional):
Cr  0.0000  0.0000  0.0000 x1  3 Fe 2.18
Fe  0.6667  0.3333  0.7738 x1  3 Cr 2.18
Sb  0.3333  0.6667  0.3939 x1  3 Fe 2.76, 3 Cr 2.82